Compound: SmTlAgHg
Source: Alexandria
Functional: PBE
Structure: relaxed

Lattice parameters (Å, degrees): 5.1402 5.1402 5.1402 60.00 60.00 60.00
Last column: nearest neighbours and their distance in Å.
Positions (direct):
Sm: 0.0000 0.0000 0.0000  4 Hg 3.15, 4 Tl 3.15
Tl: 0.7500 0.7500 0.7500  4 Sm 3.15, 4 Ag 3.15
Ag: 0.5000 0.5000 0.5000  4 Hg 3.15, 4 Tl 3.15
Hg: 0.2500 0.2500 0.2500  4 Sm 3.15, 4 Ag 3.15

Summary:
**Calculated total energy**: -11.28 eV per formula unit
**Space group**: No. 216
**Formation energy from the elements**: -0.26 eV/atom
**D(E_F)**: 3.175 states/eV per cell
**Density**: 11.47 g/cm3